1.
VASP calculation (PBE) on a geometry-optimized Nd2Sm2C2Br3Cl2 structure.

Lattice parameters (Å, degrees): 9.8254 9.8254 8.1099 104.97 104.97 22.76
Closest atoms and distances in Å follow each position.
Fractional positions:
Nd 0.1589 0.1589 0.1080  1 C 2.25
Nd 0.8411 0.8411 0.8920  1 C 2.25
Sm 0.4982 0.4982 0.7979  4 C 2.62-2.64, 1 Cl 2.92
Sm 0.5018 0.5018 0.2021  4 C 2.62-2.64, 1 Cl 2.92
C 0.0379 0.0379 0.0243  1 C 1.41
C 0.9621 0.9621 0.9757  1 C 1.41
Br 0.0000 0.0000 0.5000  4 Sm 3.10
Br 0.3335 0.3335 0.1724  3 Nd 3.02-3.26, 1 Sm 3.19
Br 0.6665 0.6665 0.8276  3 Nd 3.02-3.26, 1 Sm 3.19
Cl 0.3434 0.3434 0.6414  2 Nd 2.82, 1 Sm 2.92
Cl 0.6566 0.6566 0.3586  2 Nd 2.82, 1 Sm 2.92

ΔE to the lowest computed polymorph: 18.0 meV per atom
crystal system: monoclinic

---

2.
VASP calculation (PBE) on a geometry-optimized FeAgAsAu structure.

Lattice parameters (Å, degrees): 4.5598 4.5598 4.5598 60.00 60.00 60.00
Closest atoms and distances in Å follow each position.
Fractional positions:
Fe 0.0000 0.0000 0.0000  4 As 2.79, 4 Au 2.79
Ag 0.5000 0.5000 0.5000  4 As 2.79, 4 Au 2.79
As 0.7500 0.7500 0.7500  4 Fe 2.79, 4 Ag 2.79
Au 0.2500 0.2500 0.2500  4 Fe 2.79, 4 Ag 2.79

ΔE to the lowest computed polymorph: 0.0 meV per atom
crystal system: cubic

---

3.
VASP calculation (PBE) on a geometry-optimized Dy6YNi2Te2 structure.

Lattice parameters (Å, degrees): 9.3948 9.3948 9.3948 156.32 66.65 118.73
Closest atoms and distances in Å follow each position.
Fractional positions:
Dy 0.1320 0.0000 0.1320  2 Ni 2.81, 1 Te 3.14
Dy 0.2044 0.8513 0.3531  2 Ni 2.84, 2 Te 3.17
Dy 0.4982 0.8513 0.6469  2 Ni 2.84, 2 Te 3.17
Dy 0.5167 0.2016 0.3151  2 Ni 2.79
Dy 0.8680 0.0000 0.8680  2 Ni 2.81, 1 Te 3.14
Dy 0.8865 0.2016 0.6849  2 Ni 2.79
Y 0.5823 0.5823 0.0000  3 Te 3.18-3.22
Ni 0.2719 0.5101 0.7618  6 Dy 2.79-2.84
Ni 0.7482 0.5101 0.2382  6 Dy 2.79-2.84
Te 0.2463 0.2463 0.0000  6 Dy 3.14-3.17, 1 Y 3.22
Te 0.8465 0.3465 0.5000  2 Y 3.18, 6 Dy 3.19-3.22

crystal system: orthorhombic

---

4.
VASP calculation (PBE) on a geometry-optimized Pr2ZnCu3 structure.

Lattice parameters (Å, degrees): 5.6486 5.6486 7.1802 128.68 128.68 46.35
Closest atoms and distances in Å follow each position.
Fractional positions:
Pr 0.0000 0.0000 0.0000  9 Cu 3.06-3.22, 3 Zn 3.13-3.23
Pr 0.0659 0.0659 0.5685  9 Cu 3.07-3.22, 3 Zn 3.09-3.13
Zn 0.3660 0.3660 0.1622  3 Cu 2.56-2.61
Cu 0.3671 0.3671 0.5780  3 Cu 2.56-2.60
Cu 0.6985 0.6985 0.9903  2 Zn 2.56, 1 Cu 2.60
Cu 0.6995 0.6995 0.4081  2 Cu 2.56, 1 Zn 2.61

energy of formation from the pure elements: -0.229 eV per atom
crystal system: monoclinic

---

no.,E_tot (eV per atom)
1,-5.6362
2,-4.4764
3,-5.3611
4,-3.8894